Here is crystalline KMgV at its relaxed geometry from the Alexandria database. Energies are from PBE.

Cell lengths 4.1930, 5.2121, 9.6602 Å; angles 105.68, 77.82, 90.07 degrees
Last column: nearest neighbours and their distance in Å.
Fractional coordinates of all 6 atoms:
K (0.3122, 0.0447, 0.3736)  6 Mg 3.71-4.15
K (0.7017, 0.6910, 0.6662)  2 Mg 3.63-3.71, 6 V 3.74-3.89
Mg (0.8817, 0.4504, 0.1847)  3 V 2.84-2.95, 2 Mg 3.13
Mg (0.0578, 0.8572, 0.9981)  4 V 2.84-3.13, 2 Mg 3.13
V (0.1233, 0.2953, 0.8742)  1 V 1.85
V (0.4815, 0.3382, 0.9598)  1 V 1.85

Calculated values
As for the space group: P1, No. 1. The formation energy is 14.216 kcal/mol of atoms. The total DFT energy (no corrections) comes out at -3.32 eV per atom.



Here is crystalline KMg3V at its relaxed geometry from the Alexandria database. Energies are from PBE.

Cell lengths 5.7611, 5.7611, 5.7611 Å; angles 90.00, 90.00, 90.00 degrees
Last column: nearest neighbours and their distance in Å.
Fractional coordinates of all 5 atoms:
Mg (0.5000, 0.0000, 0.0000)  2 K 2.88
K (0.0000, 0.0000, 0.0000)  6 Mg 2.88
V (0.5000, 0.5000, 0.5000)  12 Mg 4.07
Mg (0.0000, 0.5000, 0.0000)  2 K 2.88
Mg (0.0000, 0.0000, 0.5000)  2 K 2.88

Calculated values
As for the space group: Pm-3m, No. 221. The formation energy is 36.585 kcal/mol of atoms. The total DFT energy (no corrections) comes out at -1.41 eV per atom.



Here is crystalline KMgV at its relaxed geometry from the Alexandria database. Energies are from PBE.

Cell lengths 4.9490, 4.9459, 12.6464 Å; angles 113.52, 113.14, 59.97 degrees
Last column: nearest neighbours and their distance in Å.
Fractional coordinates of all 6 atoms:
Mg (0.6839, 0.6545, 0.5608)  3 Mg 2.85-2.86, 6 V 3.00
K (0.8935, 0.8766, 0.8798)  1 Mg 3.59, 3 V 3.90-3.91
K (0.4740, 0.4353, 0.2416)  1 Mg 3.59, 3 V 3.90-3.91
V (0.9632, 0.9309, 0.4786)  1 V 1.85
Mg (0.3507, 0.3214, 0.5612)  3 Mg 2.85-2.86, 6 V 3.00-3.01
V (0.0715, 0.0447, 0.6432)  1 V 1.85

Calculated values
As for the space group: P1, No. 1. The formation energy is 12.837 kcal/mol of atoms. The total DFT energy (no corrections) comes out at -3.38 eV per atom.



Here is crystalline KMgV at its relaxed geometry from the Alexandria database. Energies are from PBE.

Cell lengths 5.6468, 5.6468, 3.0956 Å; angles 90.00, 90.00, 120.00 degrees
Last column: nearest neighbours and their distance in Å.
Fractional coordinates of all 3 atoms:
V (0.3333, 0.6667, 0.0000)  2 V 3.10, 3 Mg 3.26
Mg (0.0000, 0.0000, 0.0000)  2 Mg 3.10, 3 V 3.26
K (0.6667, 0.3333, 0.5000)  2 K 3.10

Calculated values
As for the space group: P-6m2, No. 187. The formation energy is 22.340 kcal/mol of atoms. The total DFT energy (no corrections) comes out at -2.97 eV per atom.



Here is crystalline KMg3V at its relaxed geometry from the Alexandria database. Energies are from PBE.

Cell lengths 5.4892, 5.4892, 5.4892 Å; angles 90.00, 90.00, 90.00 degrees
Last column: nearest neighbours and their distance in Å.
Fractional coordinates of all 5 atoms:
Mg (0.0000, 0.0000, 0.5000)  2 V 2.74
V (0.0000, 0.0000, 0.0000)  6 Mg 2.74
Mg (0.0000, 0.5000, 0.0000)  2 V 2.74
Mg (0.5000, 0.0000, 0.0000)  2 V 2.74
K (0.5000, 0.5000, 0.5000)  12 Mg 3.88

Calculated values
As for the space group: Pm-3m, No. 221. The formation energy is 13.755 kcal/mol of atoms. The total DFT energy (no corrections) comes out at -2.40 eV per atom.



Here is crystalline KMgV at its relaxed geometry from the Alexandria database. Energies are from PBE.

Cell lengths 5.8603, 7.2255, 4.5312 Å; angles 99.46, 97.56, 87.45 degrees
Last column: nearest neighbours and their distance in Å.
Fractional coordinates of all 6 atoms:
Mg (0.6223, 0.0984, 0.2913)  3 V 2.86-2.92, 2 Mg 3.00-3.07
Mg (0.3777, 0.9016, 0.7087)  3 V 2.86-2.92, 2 Mg 3.00-3.07
V (0.0859, 0.0032, 0.1837)  1 V 1.82
V (0.9141, 0.9968, 0.8163)  1 V 1.82
K (0.7708, 0.5984, 0.2238)  3 V 3.57-3.84, 4 Mg 3.65-3.92, 3 K 3.67-3.82
K (0.2292, 0.4016, 0.7762)  3 V 3.57-3.84, 4 Mg 3.65-3.92, 3 K 3.67-3.82

Calculated values
As for the space group: P-1, No. 2. The formation energy is 14.169 kcal/mol of atoms. The total DFT energy (no corrections) comes out at -3.32 eV per atom.



Here is crystalline KMgV at its relaxed geometry from the Alexandria database. Energies are from PBE.

Cell lengths 5.3382, 5.3382, 5.3382 Å; angles 60.00, 60.00, 60.00 degrees
Last column: nearest neighbours and their distance in Å.
Fractional coordinates of all 3 atoms:
V (0.5000, 0.5000, 0.5000)  4 Mg 3.27, 4 K 3.27
Mg (0.7500, 0.7500, 0.7500)  4 V 3.27
K (0.2500, 0.2500, 0.2500)  4 V 3.27

Calculated values
As for the space group: F-43m, No. 216. The formation energy is 28.156 kcal/mol of atoms. The total DFT energy (no corrections) comes out at -2.72 eV per atom.



Here is crystalline KMgV at its relaxed geometry from the Alexandria database. Energies are from PBE.

Cell lengths 9.4573, 7.5343, 3.0620 Å; angles 79.23, 89.54, 54.56 degrees
Last column: nearest neighbours and their distance in Å.
Fractional coordinates of all 6 atoms:
Mg (0.5742, 0.3647, 0.2329)  3 V 2.90-3.13, 3 Mg 3.06-3.23
Mg (0.2385, 0.8049, 0.5884)  3 V 2.90-3.13, 3 Mg 3.06-3.23
K (0.6433, 0.7823, 0.3554)  2 K 3.06
V (0.9280, 0.1792, 0.9973)  1 V 1.86
V (0.8844, 0.9899, 0.8217)  1 V 1.86
K (0.1685, 0.3875, 0.4656)  2 K 3.06

Calculated values
As for the space group: P-1, No. 2. The formation energy is 12.397 kcal/mol of atoms. The total DFT energy (no corrections) comes out at -3.40 eV per atom.



What did the eighth record say?
Here is crystalline KMgV at its relaxed geometry from the Alexandria database. Energies are from PBE.

Cell lengths 9.4573, 7.5343, 3.0620 Å; angles 79.23, 89.54, 54.56 degrees
Last column: nearest neighbours and their distance in Å.
Fractional coordinates of all 6 atoms:
Mg (0.5742, 0.3647, 0.2329)  3 V 2.90-3.13, 3 Mg 3.06-3.23
Mg (0.2385, 0.8049, 0.5884)  3 V 2.90-3.13, 3 Mg 3.06-3.23
K (0.6433, 0.7823, 0.3554)  2 K 3.06
V (0.9280, 0.1792, 0.9973)  1 V 1.86
V (0.8844, 0.9899, 0.8217)  1 V 1.86
K (0.1685, 0.3875, 0.4656)  2 K 3.06

Calculated values
As for the space group: P-1, No. 2. The formation energy is 12.397 kcal/mol of atoms. The total DFT energy (no corrections) comes out at -3.40 eV per atom.